Entry from Alexandria: an optimized crystal structure of Pr2PaCo3O12 (GGA+U).

Cell and atoms, written as POSCAR:
```
Pr2PaCo3O12
1.0
6.4650 -0.1622 -0.1150
3.0517 5.7017 -0.1150
3.0517 1.7764 5.4191
Co O Pa Pr
3 12 1 2
direct
0.0000 0.5000 0.0000
0.0000 0.0000 0.5000
0.5000 0.0000 0.0000
0.1441 0.5675 0.1441
0.7322 0.7322 0.1334
0.2678 0.2678 0.8666
0.7322 0.1334 0.7322
0.1441 0.1441 0.5675
0.5675 0.1441 0.1441
0.8559 0.8559 0.4325
0.2678 0.8666 0.2678
0.4325 0.8559 0.8559
0.8559 0.4325 0.8559
0.8666 0.2678 0.2678
0.1334 0.7322 0.7322
0.0000 0.0000 0.0000
0.6137 0.6137 0.6137
0.3863 0.3863 0.3863
```

As for the total energy: -7.07 eV per atom.